Entry 1:
Compound: TmMg2Hg
Source: Alexandria
Functional: PBE-GGA
Structure: relaxed

Its energy of formation is -1.0 eV/f.u. The value obtained for the total energy is -2.23 eV per atom. The total moment comes out at 0.00 μB/cell. The value obtained for the energy above the most stable polymorph in this dataset is 0.000 eV/atom.

It has space group I-4m2 (No. 119), with a = 5.072 Å, b = 5.072 Å, c = 7.103 Å, α = 90.00°, β = 90.00° and γ = 90.00°. The distinct sites, in fractional coordinates, are Tm at (0.000, 0.000, 0.000), Mg at (0.000, 0.000, 0.500), Mg at (0.000, 0.500, 0.250) and Hg at (0.000, 0.500, 0.750).

---

Entry 2:
Compound: Tm2MgHg5
Source: Alexandria
Functional: PBE-GGA
Structure: relaxed

Its energy of formation is -2.3 eV/f.u. The value obtained for the total energy is -1.79 eV per atom. The total moment comes out at 0.36 μB/cell.

It has space group I4/mmm (No. 139), with a = 4.960 Å, b = 4.960 Å, c = 15.253 Å, α = 90.00°, β = 90.00° and γ = 90.00°. The distinct sites, in fractional coordinates, are Tm at (0.000, 0.000, 0.247), Mg at (0.000, 0.000, 0.500), Hg at (0.000, 0.000, 0.000) and Hg at (0.000, 0.500, 0.124).

---

Entry 3:
Compound: Tm3Mg4Hg4
Source: Alexandria
Functional: PBE-GGA
Structure: relaxed

Its energy of formation is -3.5 eV/f.u. The value obtained for the total energy is -2.22 eV per atom. The total moment comes out at 0.00 μB/cell.

It has space group Immm (No. 71), with a = 3.804 Å, b = 8.552 Å, c = 16.333 Å, α = 90.00°, β = 90.00° and γ = 90.00°. The distinct sites, in fractional coordinates, are Tm at (0.000, 0.000, 0.000), Tm at (0.000, 0.500, 0.108), Mg at (0.000, 0.310, 0.333), Hg at (0.000, 0.000, 0.248) and Hg at (0.000, 0.212, 0.500).

---

Entry 4:
Compound: TmMg5Hg6
Source: Alexandria
Functional: PBE-GGA
Structure: relaxed

Its energy of formation is -3.4 eV/f.u. The value obtained for the total energy is -1.47 eV per atom. The total moment comes out at 0.00 μB/cell.

It has space group P2/m (No. 10), with a = 4.886 Å, b = 7.335 Å, c = 7.722 Å, α = 90.00°, β = 108.53° and γ = 90.00°. The distinct sites, in fractional coordinates, are Tm at (0.000, 0.000, 0.000), Mg at (0.000, 0.500, 0.000), Mg at (0.335, 0.500, 0.663), Mg at (0.336, 0.000, 0.666), Hg at (0.167, 0.249, 0.339) and Hg at (0.500, 0.261, 0.000).